## a
! TaBeCd PBE optimized geometry; values from VASP
&SYSTEM
  ibrav = 0, nat = 3, ntyp = 3
/
ATOMIC_SPECIES
Ta 180.95 Ta.upf
Be 9.01 Be.upf
Cd 112.41 Cd.upf
CELL_PARAMETERS angstrom
-1.446 1.446 5.574
1.446 -1.446 5.574
1.446 1.446 -5.574
ATOMIC_POSITIONS crystal
Ta 0.000 0.000 0.000
Be 0.355 0.355 0.000
Cd 0.704 0.704 0.000
! - DOS at the Fermi energy (states/eV/atom) = 0.302
! - size of the total moment (Bohr magnetons per cell) = 0.00

***

## b
! TaBeCd PBE optimized geometry; values from VASP
&SYSTEM
  ibrav = 0, nat = 3, ntyp = 3
/
ATOMIC_SPECIES
Ta 180.95 Ta.upf
Be 9.01 Be.upf
Cd 112.41 Cd.upf
CELL_PARAMETERS angstrom
0.000 3.102 3.102
3.102 0.000 3.102
3.102 3.102 0.000
ATOMIC_POSITIONS crystal
Ta 0.000 0.000 0.000
Be 0.750 0.750 0.750
Cd 0.250 0.250 0.250
! - DOS at the Fermi energy (states/eV/atom) = 0.693
! - size of the total moment (Bohr magnetons per cell) = 0.00

***

## c
! TaBeCd PBE optimized geometry; values from VASP
&SYSTEM
  ibrav = 0, nat = 3, ntyp = 3
/
ATOMIC_SPECIES
Ta 180.95 Ta.upf
Be 9.01 Be.upf
Cd 112.41 Cd.upf
CELL_PARAMETERS angstrom
2.879 0.000 0.000
-1.439 2.493 0.000
0.000 0.000 6.932
ATOMIC_POSITIONS crystal
Ta 0.000 0.000 0.000
Be 0.333 0.667 0.300
Cd 0.667 0.333 0.619
! - DOS at the Fermi energy (states/eV/atom) = 0.819
! - size of the total moment (Bohr magnetons per cell) = 0.00

***

## d
! TaBeCd PBE optimized geometry; values from VASP
&SYSTEM
  ibrav = 0, nat = 3, ntyp = 3
/
ATOMIC_SPECIES
Ta 180.95 Ta.upf
Be 9.01 Be.upf
Cd 112.41 Cd.upf
CELL_PARAMETERS angstrom
0.000 2.929 2.929
2.929 0.000 2.929
2.929 2.929 0.000
ATOMIC_POSITIONS crystal
Ta 0.000 0.000 0.000
Be 0.750 0.750 0.750
Cd 0.500 0.500 0.500
! - DOS at the Fermi energy (states/eV/atom) = 0.812
! - size of the total moment (Bohr magnetons per cell) = 0.00

***

Least stable = b

***

## a
! Ta3BeCd PBE optimized geometry; values from VASP
&SYSTEM
  ibrav = 0, nat = 5, ntyp = 3
/
ATOMIC_SPECIES
Ta 180.95 Ta.upf
Be 9.01 Be.upf
Cd 112.41 Cd.upf
CELL_PARAMETERS angstrom
4.936 0.000 0.000
0.000 4.936 0.000
0.000 0.000 4.936
ATOMIC_POSITIONS crystal
Ta 0.000 0.000 0.500
Ta 0.000 0.500 0.000
Ta 0.500 0.000 0.000
Be 0.500 0.500 0.500
Cd 0.000 0.000 0.000
! - DOS at the Fermi energy (states/eV/atom) = 2.541
! - size of the total moment (Bohr magnetons per cell) = 0.00

***

## b
! Ta3BeCd PBE optimized geometry; values from VASP
&SYSTEM
  ibrav = 0, nat = 5, ntyp = 3
/
ATOMIC_SPECIES
Ta 180.95 Ta.upf
Be 9.01 Be.upf
Cd 112.41 Cd.upf
CELL_PARAMETERS angstrom
4.455 0.000 0.000
0.000 4.455 0.000
0.000 0.000 4.455
ATOMIC_POSITIONS crystal
Ta 0.000 0.000 0.500
Ta 0.000 0.500 0.000
Ta 0.500 0.000 0.000
Be 0.000 0.000 0.000
Cd 0.500 0.500 0.500
! - DOS at the Fermi energy (states/eV/atom) = 1.067
! - size of the total moment (Bohr magnetons per cell) = 0.00

***

Least stable = a

***

## a
! Tb2BeCd PBE optimized geometry; values from VASP
&SYSTEM
  ibrav = 0, nat = 4, ntyp = 3
/
ATOMIC_SPECIES
Tb 158.93 Tb.upf
Be 9.01 Be.upf
Cd 112.41 Cd.upf
CELL_PARAMETERS angstrom
1.698 0.980 10.565
-1.698 0.980 10.565
0.000 -1.960 10.565
ATOMIC_POSITIONS crystal
Tb 0.104 0.104 0.104
Tb 0.896 0.896 0.896
Be 0.500 0.500 0.500
Cd 0.000 0.000 0.000
! - DOS at the Fermi energy (states/eV/atom) = 0.839
! - size of the total moment (Bohr magnetons per cell) = 0.00

***

## b
! Tb2BeCd PBE optimized geometry; values from VASP
&SYSTEM
  ibrav = 0, nat = 4, ntyp = 3
/
ATOMIC_SPECIES
Tb 158.93 Tb.upf
Be 9.01 Be.upf
Cd 112.41 Cd.upf
CELL_PARAMETERS angstrom
0.000 3.617 3.617
3.617 0.000 3.617
3.617 3.617 0.000
ATOMIC_POSITIONS crystal
Tb 0.250 0.250 0.250
Tb 0.750 0.750 0.750
Be 0.000 0.000 0.000
Cd 0.500 0.500 0.500
! - DOS at the Fermi energy (states/eV/atom) = 1.089
! - size of the total moment (Bohr magnetons per cell) = 0.00

***

Least stable = a

***

## a
! BeCdTc2 PBE optimized geometry; values from VASP
&SYSTEM
  ibrav = 0, nat = 4, ntyp = 3
/
ATOMIC_SPECIES
Be 9.01 Be.upf
Cd 112.41 Cd.upf
Tc 98.00 Tc.upf
CELL_PARAMETERS angstrom
4.289 -1.402 0.000
4.289 1.402 0.000
-0.678 0.000 5.023
ATOMIC_POSITIONS crystal
Be 0.000 0.000 0.000
Cd 0.759 0.759 0.260
Tc 0.266 0.266 0.776
Tc 0.514 0.514 0.592
! - DOS at the Fermi energy (states/eV/atom) = 0.786
! - size of the total moment (Bohr magnetons per cell) = 0.00

***

## b
! BeCdTc2 PBE optimized geometry; values from VASP
&SYSTEM
  ibrav = 0, nat = 4, ntyp = 3
/
ATOMIC_SPECIES
Be 9.01 Be.upf
Cd 112.41 Cd.upf
Tc 98.00 Tc.upf
CELL_PARAMETERS angstrom
1.382 0.798 8.832
-1.382 0.798 8.832
0.000 -1.596 8.832
ATOMIC_POSITIONS crystal
Be 0.000 0.000 0.000
Cd 0.500 0.500 0.500
Tc 0.260 0.260 0.260
Tc 0.740 0.740 0.740
! - DOS at the Fermi energy (states/eV/atom) = 1.562
! - size of the total moment (Bohr magnetons per cell) = 0.00

***

Least stable = b

***

## a
! BeCdTc2 PBE optimized geometry; values from VASP
&SYSTEM
  ibrav = 0, nat = 4, ntyp = 3
/
ATOMIC_SPECIES
Be 9.01 Be.upf
Cd 112.41 Cd.upf
Tc 98.00 Tc.upf
CELL_PARAMETERS angstrom
2.534 -4.248 0.000
2.534 4.248 0.000
0.000 0.000 2.764
ATOMIC_POSITIONS crystal
Be 0.000 0.000 0.000
Cd 0.500 0.500 0.000
Tc 0.000 0.500 0.500
Tc 0.500 0.000 0.500
! - DOS at the Fermi energy (states/eV/atom) = 1.254
! - size of the total moment (Bohr magnetons per cell) = 0.00

***

## b
! BeCdTc2 PBE optimized geometry; values from VASP
&SYSTEM
  ibrav = 0, nat = 4, ntyp = 3
/
ATOMIC_SPECIES
Be 9.01 Be.upf
Cd 112.41 Cd.upf
Tc 98.00 Tc.upf
CELL_PARAMETERS angstrom
-1.560 2.217 4.107
1.560 -2.217 4.107
1.560 2.217 -4.107
ATOMIC_POSITIONS crystal
Be 0.000 0.000 0.000
Cd 0.234 0.734 0.500
Tc 0.516 0.516 0.000
Tc 0.781 0.281 0.500
! - DOS at the Fermi energy (states/eV/atom) = 0.674
! - size of the total moment (Bohr magnetons per cell) = 0.00

***

## c
! BeCdTc2 PBE optimized geometry; values from VASP
&SYSTEM
  ibrav = 0, nat = 4, ntyp = 3
/
ATOMIC_SPECIES
Be 9.01 Be.upf
Cd 112.41 Cd.upf
Tc 98.00 Tc.upf
CELL_PARAMETERS angstrom
2.968 0.000 0.000
0.000 2.968 0.000
0.000 0.000 6.679
ATOMIC_POSITIONS crystal
Be 0.000 0.000 0.000
Cd 0.500 0.500 0.270
Tc 0.000 0.000 0.591
Tc 0.500 0.500 0.811
! - DOS at the Fermi energy (states/eV/atom) = 0.627
! - size of the total moment (Bohr magnetons per cell) = 0.00

***

## d
! BeCdTc2 PBE optimized geometry; values from VASP
&SYSTEM
  ibrav = 0, nat = 4, ntyp = 3
/
ATOMIC_SPECIES
Be 9.01 Be.upf
Cd 112.41 Cd.upf
Tc 98.00 Tc.upf
CELL_PARAMETERS angstrom
1.641 -2.133 0.000
1.641 2.133 0.000
0.000 0.000 8.204
ATOMIC_POSITIONS crystal
Be 0.000 0.000 0.000
Cd 0.000 0.000 0.500
Tc 0.500 0.500 0.204
Tc 0.500 0.500 0.796
! - DOS at the Fermi energy (states/eV/atom) = 0.636
! - size of the total moment (Bohr magnetons per cell) = 0.00

***

Least stable = a

***

## a
! BeCdTc2 PBE optimized geometry; values from VASP
&SYSTEM
  ibrav = 0, nat = 8, ntyp = 3
/
ATOMIC_SPECIES
Be 9.01 Be.upf
Cd 112.41 Cd.upf
Tc 98.00 Tc.upf
CELL_PARAMETERS angstrom
-1.861 1.861 9.358
1.861 -1.861 9.358
1.861 1.861 -9.358
ATOMIC_POSITIONS crystal
Be 0.000 0.000 0.000
Be 0.750 0.250 0.500
Cd 0.250 0.750 0.500
Cd 0.500 0.500 0.000
Tc 0.069 0.625 0.944
Tc 0.375 0.319 0.444
Tc 0.681 0.125 0.056
Tc 0.875 0.931 0.556
! - DOS at the Fermi energy (states/eV/atom) = 0.622
! - size of the total moment (Bohr magnetons per cell) = 0.00

***

## b
! BeCdTc2 PBE optimized geometry; values from VASP
&SYSTEM
  ibrav = 0, nat = 4, ntyp = 3
/
ATOMIC_SPECIES
Be 9.01 Be.upf
Cd 112.41 Cd.upf
Tc 98.00 Tc.upf
CELL_PARAMETERS angstrom
1.477 -2.296 0.000
1.477 2.296 0.000
0.000 0.000 8.796
ATOMIC_POSITIONS crystal
Be 0.000 0.000 0.000
Cd 0.500 0.500 0.255
Tc 0.000 0.000 0.547
Tc 0.500 0.500 0.788
! - DOS at the Fermi energy (states/eV/atom) = 0.635
! - size of the total moment (Bohr magnetons per cell) = 0.00

***

## c
! BeCdTc2 PBE optimized geometry; values from VASP
&SYSTEM
  ibrav = 0, nat = 4, ntyp = 3
/
ATOMIC_SPECIES
Be 9.01 Be.upf
Cd 112.41 Cd.upf
Tc 98.00 Tc.upf
CELL_PARAMETERS angstrom
-1.848 1.848 4.316
1.848 -1.848 4.316
1.848 1.848 -4.316
ATOMIC_POSITIONS crystal
Be 0.000 0.000 0.000
Cd 0.500 0.500 0.000
Tc 0.250 0.750 0.500
Tc 0.750 0.250 0.500
! - DOS at the Fermi energy (states/eV/atom) = 0.990
! - size of the total moment (Bohr magnetons per cell) = 0.00

***

Least stable = a

***

## a
! BeCdTc2 PBE optimized geometry; values from VASP
&SYSTEM
  ibrav = 0, nat = 4, ntyp = 3
/
ATOMIC_SPECIES
Be 9.01 Be.upf
Cd 112.41 Cd.upf
Tc 98.00 Tc.upf
CELL_PARAMETERS angstrom
0.000 3.076 3.076
3.076 0.000 3.076
3.076 3.076 0.000
ATOMIC_POSITIONS crystal
Be 0.000 0.000 0.000
Cd 0.750 0.750 0.750
Tc 0.250 0.250 0.250
Tc 0.500 0.500 0.500
! - DOS at the Fermi energy (states/eV/atom) = 0.372
! - size of the total moment (Bohr magnetons per cell) = 0.00

***

## b
! BeCdTc2 PBE optimized geometry; values from VASP
&SYSTEM
  ibrav = 0, nat = 4, ntyp = 3
/
ATOMIC_SPECIES
Be 9.01 Be.upf
Cd 112.41 Cd.upf
Tc 98.00 Tc.upf
CELL_PARAMETERS angstrom
0.000 3.073 3.073
3.073 0.000 3.073
3.073 3.073 0.000
ATOMIC_POSITIONS crystal
Be 0.000 0.000 0.000
Cd 0.500 0.500 0.500
Tc 0.250 0.250 0.250
Tc 0.750 0.750 0.750
! - DOS at the Fermi energy (states/eV/atom) = 1.211
! - size of the total moment (Bohr magnetons per cell) = 0.00

***

Least stable = b

***

## a
! BeCdTc2 PBE optimized geometry; values from VASP
&SYSTEM
  ibrav = 0, nat = 4, ntyp = 3
/
ATOMIC_SPECIES
Be 9.01 Be.upf
Cd 112.41 Cd.upf
Tc 98.00 Tc.upf
CELL_PARAMETERS angstrom
-1.385 2.206 4.724
1.385 -2.206 4.724
1.385 2.206 -4.724
ATOMIC_POSITIONS crystal
Be 0.000 0.000 0.000
Cd 0.500 0.500 0.000
Tc 0.210 0.710 0.500
Tc 0.790 0.290 0.500
! - DOS at the Fermi energy (states/eV/atom) = 0.801
! - size of the total moment (Bohr magnetons per cell) = 0.00

***

## b
! BeCdTc2 PBE optimized geometry; values from VASP
&SYSTEM
  ibrav = 0, nat = 4, ntyp = 3
/
ATOMIC_SPECIES
Be 9.01 Be.upf
Cd 112.41 Cd.upf
Tc 98.00 Tc.upf
CELL_PARAMETERS angstrom
3.166 0.000 0.000
0.000 4.187 0.000
0.000 0.000 4.439
ATOMIC_POSITIONS crystal
Be 0.000 0.000 0.000
Cd 0.500 0.500 0.000
Tc 0.000 0.500 0.500
Tc 0.500 0.000 0.500
! - DOS at the Fermi energy (states/eV/atom) = 0.703
! - size of the total moment (Bohr magnetons per cell) = 0.00

***

Least stable = b

***

## a
! BeCdTc2 PBE optimized geometry; values from VASP
&SYSTEM
  ibrav = 0, nat = 4, ntyp = 3
/
ATOMIC_SPECIES
Be 9.01 Be.upf
Cd 112.41 Cd.upf
Tc 98.00 Tc.upf
CELL_PARAMETERS angstrom
2.984 0.000 0.000
0.000 2.984 0.000
0.000 0.000 6.565
ATOMIC_POSITIONS crystal
Be 0.000 0.000 0.000
Cd 0.000 0.000 0.500
Tc 0.500 0.500 0.179
Tc 0.500 0.500 0.821
! - DOS at the Fermi energy (states/eV/atom) = 0.647
! - size of the total moment (Bohr magnetons per cell) = 0.00

***

## b
! BeCdTc2 PBE optimized geometry; values from VASP
&SYSTEM
  ibrav = 0, nat = 4, ntyp = 3
/
ATOMIC_SPECIES
Be 9.01 Be.upf
Cd 112.41 Cd.upf
Tc 98.00 Tc.upf
CELL_PARAMETERS angstrom
2.608 -4.451 0.000
2.608 4.451 0.000
-0.778 0.000 2.560
ATOMIC_POSITIONS crystal
Be 0.000 0.000 0.000
Cd 0.500 0.500 0.000
Tc 0.000 0.500 0.500
Tc 0.500 0.000 0.500
! - DOS at the Fermi energy (states/eV/atom) = 0.807
! - size of the total moment (Bohr magnetons per cell) = 0.00

***

Least stable = b

***

## a
! BeCdTc3 PBE optimized geometry; values from VASP
&SYSTEM
  ibrav = 0, nat = 5, ntyp = 3
/
ATOMIC_SPECIES
Be 9.01 Be.upf
Cd 112.41 Cd.upf
Tc 98.00 Tc.upf
CELL_PARAMETERS angstrom
4.847 0.000 0.000
0.000 4.847 0.000
0.000 0.000 4.847
ATOMIC_POSITIONS crystal
Be 0.000 0.000 0.000
Cd 0.500 0.500 0.500
Tc 0.000 0.500 0.500
Tc 0.500 0.000 0.500
Tc 0.500 0.500 0.000
! - DOS at the Fermi energy (states/eV/atom) = 0.915
! - size of the total moment (Bohr magnetons per cell) = 4.97

***

## b
! BeCdTc3 PBE optimized geometry; values from VASP
&SYSTEM
  ibrav = 0, nat = 5, ntyp = 3
/
ATOMIC_SPECIES
Be 9.01 Be.upf
Cd 112.41 Cd.upf
Tc 98.00 Tc.upf
CELL_PARAMETERS angstrom
4.214 0.000 0.000
0.000 4.214 0.000
0.000 0.000 4.214
ATOMIC_POSITIONS crystal
Be 0.000 0.000 0.000
Cd 0.500 0.500 0.500
Tc 0.000 0.000 0.500
Tc 0.000 0.500 0.000
Tc 0.500 0.000 0.000
! - DOS at the Fermi energy (states/eV/atom) = 0.982
! - size of the total moment (Bohr magnetons per cell) = 0.00

***

Least stable = a

***

## a
! Be2CdTc2 PBE optimized geometry; values from VASP
&SYSTEM
  ibrav = 0, nat = 10, ntyp = 3
/
ATOMIC_SPECIES
Be 9.01 Be.upf
Cd 112.41 Cd.upf
Tc 98.00 Tc.upf
CELL_PARAMETERS angstrom
6.913 0.000 0.000
0.000 6.913 0.000
0.000 0.000 2.924
ATOMIC_POSITIONS crystal
Be 0.173 0.327 0.000
Be 0.327 0.827 0.000
Be 0.673 0.173 0.000
Be 0.827 0.673 0.000
Cd 0.000 0.000 0.500
Cd 0.500 0.500 0.500
Tc 0.118 0.618 0.500
Tc 0.382 0.118 0.500
Tc 0.618 0.882 0.500
Tc 0.882 0.382 0.500
! - DOS at the Fermi energy (states/eV/atom) = 0.260
! - size of the total moment (Bohr magnetons per cell) = 0.00

***

## b
! Be2CdTc2 PBE optimized geometry; values from VASP
&SYSTEM
  ibrav = 0, nat = 10, ntyp = 3
/
ATOMIC_SPECIES
Be 9.01 Be.upf
Cd 112.41 Cd.upf
Tc 98.00 Tc.upf
CELL_PARAMETERS angstrom
6.273 0.000 0.000
0.000 6.273 0.000
0.000 0.000 3.212
ATOMIC_POSITIONS crystal
Be 0.117 0.383 0.000
Be 0.383 0.883 0.000
Be 0.617 0.117 0.000
Be 0.883 0.617 0.000
Cd 0.000 0.000 0.000
Cd 0.500 0.500 0.000
Tc 0.168 0.668 0.500
Tc 0.332 0.168 0.500
Tc 0.668 0.832 0.500
Tc 0.832 0.332 0.500
! - DOS at the Fermi energy (states/eV/atom) = 1.283
! - size of the total moment (Bohr magnetons per cell) = 0.00

***

Least stable = a